[1]
Material: BaCrFe2
Method: DFT, GGA-PBE
State: relaxed

Structure (POSCAR):
```
BaCrFe2
1.0
4.149 0.000 0.000
-2.075 3.594 0.000
0.000 0.000 17.678
Ba Cr Fe
3 3 6
direct
0.000 0.000 0.000
0.333 0.667 0.667
0.667 0.333 0.333
0.000 0.000 0.500
0.333 0.667 0.167
0.667 0.333 0.833
0.000 0.000 0.189
0.000 0.000 0.811
0.333 0.667 0.477
0.333 0.667 0.856
0.667 0.333 0.144
0.667 0.333 0.523
```

Computed properties:
- Energy relative to the lowest polymorph listed for this composition: 0 meV/atom
- Size of the total moment: 4.31 Bohr magnetons per cell
- N(E_F): 20.5 states/eV/cell

[2]
Material: Pm3Nd4Ho2
Method: DFT, GGA-PBE
State: relaxed

Structure (POSCAR):
```
Pm3Nd4Ho2
1.0
3.637 0.000 0.000
-1.819 3.150 0.000
0.000 0.000 27.078
Pm Nd Ho
3 4 2
direct
0.000 0.000 0.000
0.000 0.000 0.338
0.667 0.333 0.673
0.000 0.000 0.562
0.000 0.000 0.786
0.667 0.333 0.230
0.667 0.333 0.451
0.667 0.333 0.104
0.667 0.333 0.892
```

Computed properties:
- Energy relative to the lowest polymorph listed for this composition: 53 meV/atom
- Size of the total moment: 0.00 Bohr magnetons per cell
- N(E_F): 16.7 states/eV/cell

[3]
Material: Na6HgPd4
Method: DFT, GGA-PBE
State: relaxed

Structure (POSCAR):
```
Na6HgPd4
1.0
5.207 -4.222 0.000
5.207 4.222 0.000
-4.746 0.000 6.060
Na Hg Pd
6 1 4
direct
0.000 0.000 0.000
0.039 0.447 0.827
0.447 0.039 0.827
0.502 0.872 0.368
0.560 0.560 0.861
0.872 0.502 0.368
0.377 0.377 0.317
0.067 0.730 0.257
0.188 0.188 0.480
0.730 0.067 0.257
0.979 0.979 0.608
```

Computed properties:
- DFT total energy: -29.47 eV/f.u.
- Size of the total moment: 0.00 Bohr magnetons per cell
- N(E_F): 3.4 states/eV/cell

[4]
Material: Ti5Nb2Ir2Rh
Method: DFT, GGA-PBE
State: relaxed

Structure (POSCAR):
```
Ti5Nb2Ir2Rh
1.0
10.626 0.000 0.000
0.000 10.626 0.000
0.000 0.000 3.028
Ti Nb Ir Rh
10 4 4 2
direct
0.000 0.500 0.000
0.043 0.197 0.000
0.197 0.957 0.000
0.303 0.457 0.000
0.457 0.697 0.000
0.500 0.000 0.000
0.543 0.303 0.000
0.697 0.543 0.000
0.803 0.043 0.000
0.957 0.803 0.000
0.175 0.675 0.500
0.325 0.175 0.500
0.675 0.825 0.500
0.825 0.325 0.500
0.137 0.363 0.500
0.363 0.863 0.500
0.637 0.137 0.500
0.863 0.637 0.500
0.000 0.000 0.500
0.500 0.500 0.500
```

Computed properties:
- DFT total energy: -88.57 eV/f.u.
- Size of the total moment: 0.00 Bohr magnetons per cell
- N(E_F): 21.6 states/eV/cell

> Number 3 is which compound?

Na6HgPd4

> The highest N(E_F) belongs to which entry?

Ti5Nb2Ir2Rh

Repeat the fourth record exactly.
Material: Ti5Nb2Ir2Rh
Method: DFT, GGA-PBE
State: relaxed

Structure (POSCAR):
```
Ti5Nb2Ir2Rh
1.0
10.626 0.000 0.000
0.000 10.626 0.000
0.000 0.000 3.028
Ti Nb Ir Rh
10 4 4 2
direct
0.000 0.500 0.000
0.043 0.197 0.000
0.197 0.957 0.000
0.303 0.457 0.000
0.457 0.697 0.000
0.500 0.000 0.000
0.543 0.303 0.000
0.697 0.543 0.000
0.803 0.043 0.000
0.957 0.803 0.000
0.175 0.675 0.500
0.325 0.175 0.500
0.675 0.825 0.500
0.825 0.325 0.500
0.137 0.363 0.500
0.363 0.863 0.500
0.637 0.137 0.500
0.863 0.637 0.500
0.000 0.000 0.500
0.500 0.500 0.500
```

Computed properties:
- DFT total energy: -88.57 eV/f.u.
- Size of the total moment: 0.00 Bohr magnetons per cell
- N(E_F): 21.6 states/eV/cell